Compound: MnBeTc4
Source: Alexandria
Functional: PBE-GGA
Structure: relaxed

Cell lengths 5.0561, 5.0561, 5.0561 Å; angles 60.00, 60.00, 60.00 degrees
Each line ends with the local moment (μB).
Positions (direct):
Mn 0.0000 0.0000 0.0000  3.37
Tc 0.3752 0.3752 0.8744  -0.09
Tc 0.3752 0.8744 0.3752  -0.09
Tc 0.3752 0.3752 0.3752  -0.09
Tc 0.8744 0.3752 0.3752  -0.09
Be 0.7500 0.7500 0.7500  -0.01

Values from the calculation:
- Raw total energy: -0.6277 Ry/atom
- Density: 8.284 Mg/m³


Compound: MnBeTc
Source: Alexandria
Functional: PBE-GGA
Structure: relaxed

Cell lengths 4.5428, 4.5428, 4.5428 Å; angles 143.14, 143.14, 53.11 degrees
Positions (direct):
Be 0.9921 0.9921 0.0000
Mn 0.3382 0.3382 0.0000
Tc 0.6697 0.6697 0.0000

Values from the calculation:
- ΔE to the lowest computed polymorph: 0.0 kJ per mole of atoms
- Raw total energy: -0.5802 Ry/atom
- Density: 8.022 Mg/m³


Compound: MnBeTc2
Source: Alexandria
Functional: PBE-GGA
Structure: relaxed

Cell lengths 5.0180, 4.7585, 2.5948 Å; angles 81.06, 77.15, 117.81 degrees
Each line ends with the local moment (μB).
Positions (direct):
Be 0.0000 0.5000 0.5000  -0.02
Tc 0.5000 0.0000 0.5000  -0.06
Tc 0.0000 0.0000 0.0000  -0.06
Mn 0.5000 0.5000 0.0000  2.19

Values from the calculation:
- Raw total energy: -0.6103 Ry/atom
- Density: 8.471 Mg/m³


Record order is preserved below.
DOS(E_F): 5.97, 1.57, 3.07 states/eV per cell
Record order is preserved below.
Formation energy from the elements: 0.519, -0.140, 0.104 eV/atom